Entry A
! CrCoMo2, single point on PBEsol structure, DFT meta-GGA SCAN; values from VASP
&SYSTEM
  ibrav = 0, nat = 4, ntyp = 3
/
ATOMIC_SPECIES
Cr 52.00 Cr.upf
Co 58.93 Co.upf
Mo 95.94 Mo.upf
CELL_PARAMETERS angstrom
-1.551 2.098 4.040
1.551 -2.098 4.040
1.551 2.098 -4.040
ATOMIC_POSITIONS crystal
Cr 0.000 0.000 0.000
Co 0.500 0.500 0.000
Mo 0.241 0.741 0.500
Mo 0.759 0.259 0.500
! space-group type: Immm, No. 71
! crystal system: orthorhombic

=====

Entry B
! CrCoMo2, single point on PBEsol structure, DFT meta-GGA SCAN; values from VASP
&SYSTEM
  ibrav = 0, nat = 4, ntyp = 3
/
ATOMIC_SPECIES
Cr 52.00 Cr.upf
Co 58.93 Co.upf
Mo 95.94 Mo.upf
CELL_PARAMETERS angstrom
0.000 2.969 2.969
2.969 0.000 2.969
2.969 2.969 0.000
ATOMIC_POSITIONS crystal
Cr 0.000 0.000 0.000
Co 0.500 0.500 0.500
Mo 0.250 0.250 0.250
Mo 0.750 0.750 0.750
! space-group type: Fm-3m, No. 225
! crystal system: cubic

=====

Last place for stability: entry A

=====

Entry A
! NaCrCo3, single point on PBEsol structure, DFT meta-GGA SCAN; values from VASP
&SYSTEM
  ibrav = 0, nat = 5, ntyp = 3
/
ATOMIC_SPECIES
Na 22.99 Na.upf
Cr 52.00 Cr.upf
Co 58.93 Co.upf
CELL_PARAMETERS angstrom
4.191 0.000 0.000
0.000 4.191 0.000
0.000 0.000 4.191
ATOMIC_POSITIONS crystal
Na 0.000 0.000 0.000
Cr 0.500 0.500 0.500
Co 0.000 0.500 0.500
Co 0.500 0.000 0.500
Co 0.500 0.500 0.000
! space-group type: Pm-3m, No. 221
! crystal system: cubic

=====

Entry B
! NaCrCo3, single point on PBEsol structure, DFT meta-GGA SCAN; values from VASP
&SYSTEM
  ibrav = 0, nat = 5, ntyp = 3
/
ATOMIC_SPECIES
Na 22.99 Na.upf
Cr 52.00 Cr.upf
Co 58.93 Co.upf
CELL_PARAMETERS angstrom
4.246 0.000 0.000
0.000 4.246 0.000
0.000 0.000 4.246
ATOMIC_POSITIONS crystal
Na 0.000 0.000 0.000
Cr 0.500 0.500 0.500
Co 0.000 0.000 0.500
Co 0.000 0.500 0.000
Co 0.500 0.000 0.000
! space-group type: Pm-3m, No. 221
! crystal system: cubic

=====

Last place for stability: entry B

=====

Entry A
! CrCoNi, single point on PBEsol structure, DFT meta-GGA SCAN; values from VASP
&SYSTEM
  ibrav = 0, nat = 3, ntyp = 3
/
ATOMIC_SPECIES
Cr 52.00 Cr.upf
Co 58.93 Co.upf
Ni 58.69 Ni.upf
CELL_PARAMETERS angstrom
-1.217 1.217 5.261
1.217 -1.217 5.261
1.217 1.217 -5.261
ATOMIC_POSITIONS crystal
Cr 0.000 0.000 0.000
Co 0.661 0.661 0.000
Ni 0.330 0.330 0.000
! space-group type: I4mm, No. 107
! crystal system: tetragonal

=====

Entry B
! CrCoNi, single point on PBEsol structure, DFT meta-GGA SCAN; values from VASP
&SYSTEM
  ibrav = 0, nat = 3, ntyp = 3
/
ATOMIC_SPECIES
Cr 52.00 Cr.upf
Co 58.93 Co.upf
Ni 58.69 Ni.upf
CELL_PARAMETERS angstrom
-1.218 1.733 3.673
1.218 -1.733 3.673
1.218 1.733 -3.673
ATOMIC_POSITIONS crystal
Cr 0.000 0.000 0.000
Co 0.662 0.662 0.000
Ni 0.330 0.330 0.000
! space-group type: Imm2, No. 44
! crystal system: orthorhombic

=====

Last place for stability: entry A

=====

Entry A
! Cr3Co2O12, single point on PBEsol structure, DFT meta-GGA SCAN; values from VASP
&SYSTEM
  ibrav = 0, nat = 68, ntyp = 3
/
ATOMIC_SPECIES
Cr 52.00 Cr.upf
Co 58.93 Co.upf
O 16.00 O.upf
CELL_PARAMETERS angstrom
8.420 0.000 0.000
0.000 8.621 0.000
-8.252 0.000 11.756
ATOMIC_POSITIONS crystal
Cr 0.034 0.115 0.142
Cr 0.034 0.385 0.642
Cr 0.252 0.617 0.147
Cr 0.252 0.883 0.647
Cr 0.460 0.250 0.489
Cr 0.460 0.250 0.989
Cr 0.540 0.750 0.011
Cr 0.540 0.750 0.511
Cr 0.748 0.117 0.353
Cr 0.748 0.383 0.853
Cr 0.966 0.615 0.358
Cr 0.966 0.885 0.858
Co 0.126 0.531 0.880
Co 0.126 0.969 0.380
Co 0.368 0.531 0.615
Co 0.368 0.969 0.115
Co 0.632 0.031 0.885
Co 0.632 0.469 0.385
Co 0.874 0.031 0.620
Co 0.874 0.469 0.120
O 0.027 0.206 0.679
O 0.027 0.294 0.179
O 0.099 0.582 0.182
O 0.099 0.918 0.682
O 0.101 0.510 0.745
O 0.101 0.990 0.245
O 0.158 0.561 0.016
O 0.158 0.939 0.516
O 0.190 0.108 0.107
O 0.190 0.392 0.607
O 0.190 0.570 0.465
O 0.190 0.930 0.965
O 0.251 0.157 0.426
O 0.251 0.343 0.926
O 0.280 0.691 0.658
O 0.280 0.809 0.158
O 0.355 0.632 0.937
O 0.355 0.868 0.437
O 0.458 0.522 0.233
O 0.458 0.978 0.733
O 0.461 0.168 0.884
O 0.461 0.332 0.384
O 0.478 0.121 0.079
O 0.478 0.379 0.579
O 0.522 0.621 0.421
O 0.522 0.879 0.921
O 0.539 0.668 0.616
O 0.539 0.832 0.116
O 0.542 0.022 0.267
O 0.542 0.478 0.767
O 0.645 0.132 0.563
O 0.645 0.368 0.063
O 0.720 0.191 0.842
O 0.720 0.309 0.342
O 0.749 0.657 0.074
O 0.749 0.843 0.574
O 0.810 0.070 0.035
O 0.810 0.430 0.535
O 0.810 0.608 0.393
O 0.810 0.892 0.893
O 0.842 0.061 0.484
O 0.842 0.439 0.984
O 0.899 0.010 0.755
O 0.899 0.490 0.255
O 0.901 0.082 0.318
O 0.901 0.418 0.818
O 0.973 0.706 0.821
O 0.973 0.794 0.321
! space-group type: P2_1/c, No. 14
! crystal system: monoclinic

=====

Entry B
! Cr3Co2O12, single point on PBEsol structure, DFT meta-GGA SCAN; values from VASP
&SYSTEM
  ibrav = 0, nat = 68, ntyp = 3
/
ATOMIC_SPECIES
Cr 52.00 Cr.upf
Co 58.93 Co.upf
O 16.00 O.upf
CELL_PARAMETERS angstrom
11.767 0.000 0.000
0.000 8.584 0.000
0.000 0.000 8.629
ATOMIC_POSITIONS crystal
Cr 0.000 0.023 0.250
Cr 0.000 0.977 0.750
Cr 0.146 0.403 0.622
Cr 0.146 0.597 0.122
Cr 0.354 0.097 0.122
Cr 0.354 0.903 0.622
Cr 0.500 0.477 0.750
Cr 0.500 0.523 0.250
Cr 0.646 0.097 0.378
Cr 0.646 0.903 0.878
Cr 0.854 0.403 0.878
Cr 0.854 0.597 0.378
Co 0.119 0.250 0.960
Co 0.119 0.750 0.460
Co 0.381 0.250 0.460
Co 0.381 0.750 0.960
Co 0.619 0.250 0.040
Co 0.619 0.750 0.540
Co 0.881 0.250 0.540
Co 0.881 0.750 0.040
O 0.021 0.327 0.586
O 0.021 0.673 0.086
O 0.060 0.126 0.113
O 0.060 0.874 0.613
O 0.103 0.090 0.819
O 0.103 0.910 0.319
O 0.144 0.404 0.105
O 0.144 0.596 0.605
O 0.181 0.372 0.807
O 0.181 0.628 0.307
O 0.238 0.326 0.499
O 0.238 0.674 0.999
O 0.262 0.174 0.999
O 0.262 0.826 0.499
O 0.319 0.128 0.307
O 0.319 0.872 0.807
O 0.356 0.096 0.605
O 0.356 0.904 0.105
O 0.397 0.410 0.319
O 0.397 0.590 0.819
O 0.440 0.374 0.613
O 0.440 0.626 0.113
O 0.479 0.173 0.086
O 0.479 0.827 0.586
O 0.521 0.173 0.414
O 0.521 0.827 0.914
O 0.560 0.374 0.887
O 0.560 0.626 0.387
O 0.603 0.410 0.181
O 0.603 0.590 0.681
O 0.644 0.096 0.895
O 0.644 0.904 0.395
O 0.681 0.128 0.193
O 0.681 0.872 0.693
O 0.738 0.174 0.501
O 0.738 0.826 0.001
O 0.762 0.326 0.001
O 0.762 0.674 0.501
O 0.819 0.372 0.693
O 0.819 0.628 0.193
O 0.856 0.404 0.395
O 0.856 0.596 0.895
O 0.897 0.090 0.681
O 0.897 0.910 0.181
O 0.940 0.126 0.387
O 0.940 0.874 0.887
O 0.979 0.327 0.914
O 0.979 0.673 0.414
! space-group type: Pbcn, No. 60
! crystal system: orthorhombic

=====

Last place for stability: entry B